No. 1
# HgP2Cl, optimized geometry, DFT GGA-PBE
data_HgP2Cl
_chemical_formula_sum 'Hg1 P2 Cl1'
_symmetry_space_group_name_H-M 'P 1'
_symmetry_Int_Tables_number 1
_symmetry_space_group_name_Hall 'P 1'
_cell_length_a 7.859
_cell_length_b 7.859
_cell_length_c 2.825
_cell_angle_alpha 90.00
_cell_angle_beta 90.00
_cell_angle_gamma 144.25
loop_
_atom_site_label
_atom_site_type_symbol
_atom_site_fract_x
_atom_site_fract_y
_atom_site_fract_z
_atom_site_occupancy
Cl1 Cl 0.500 0.000 0.500 1
Hg1 Hg 0.000 0.500 0.500 1
P1 P 0.000 0.000 0.000 1
P2 P 0.500 0.500 0.000 1
# - Uncorrected formation energy: 0.5439 eV/atom
# - M_tot: 0.00 Bohr magnetons per cell
# - Polymorph energy (0 for the lowest one): 61.0 kJ per mole of atoms
# - Space group: No. 65

***

No. 2
# HgP2Cl, optimized geometry, DFT GGA-PBE
data_HgP2Cl
_chemical_formula_sum 'Hg1 P2 Cl1'
_symmetry_space_group_name_H-M 'P 1'
_symmetry_Int_Tables_number 1
_symmetry_space_group_name_Hall 'P 1'
_cell_length_a 4.750
_cell_length_b 4.750
_cell_length_c 4.750
_cell_angle_alpha 60.00
_cell_angle_beta 60.00
_cell_angle_gamma 60.00
loop_
_atom_site_label
_atom_site_type_symbol
_atom_site_fract_x
_atom_site_fract_y
_atom_site_fract_z
_atom_site_occupancy
Cl1 Cl 0.500 0.500 0.500 1
Hg1 Hg 0.750 0.750 0.750 1
P1 P 0.000 0.000 0.000 1
P2 P 0.250 0.250 0.250 1
# - Uncorrected formation energy: 0.6650 eV/atom
# - M_tot: 0.00 Bohr magnetons per cell
# - Polymorph energy (0 for the lowest one): 72.6 kJ per mole of atoms
# - Space group: No. 216

***

uncorrected formation energy of number 1 (HgP2Cl)?
0.5439 eV/atom

***

Which of these has the lowest polymorph energy (0 for the lowest one)?
number 1